(1)
This record from Alexandria describes a geometry-optimized TaSeIN2 structure. The functional is PBE.

Computed properties:
- raw formation energy (eV/atom) = 2.195
- E_tot (eV/atom) = -4.513

Unit cell a=4.0104 b=4.0104 c=5.2876 alpha=90.00 beta=90.00 gamma=90.00
Space group P4/mmm (No. 123)
Asymmetric unit:
Ta 0.0000 0.0000 0.0000 x1
Se 0.5000 0.5000 0.5000 x1
I 0.5000 0.5000 0.0000 x1
N 0.0000 0.5000 0.5000 x2

(2)
This record from Alexandria describes a geometry-optimized TcSe2IN structure. The functional is PBE.

Computed properties:
- raw formation energy (eV/atom) = 1.726
- E_tot (eV/atom) = -3.716

Unit cell a=5.4873 b=5.4873 c=3.9370 alpha=90.00 beta=90.00 gamma=90.00
Space group P4/mmm (No. 123)
Asymmetric unit:
Tc 0.0000 0.0000 0.0000 x1
Se 0.0000 0.5000 0.5000 x2
I 0.5000 0.5000 0.5000 x1
N 0.5000 0.5000 0.0000 x1

(3)
This record from Alexandria describes a geometry-optimized TcSeIN2 structure. The functional is PBE.

Computed properties:
- raw formation energy (eV/atom) = 2.112
- E_tot (eV/atom) = -4.299

Unit cell a=3.9256 b=3.9256 c=6.7206 alpha=90.00 beta=90.00 gamma=90.00
Space group P4/mmm (No. 123)
Asymmetric unit:
Tc 0.0000 0.0000 0.0000 x1
Se 0.5000 0.5000 0.0000 x1
I 0.5000 0.5000 0.5000 x1
N 0.0000 0.5000 0.5000 x2